A relaxed structure of VPd2F, computed with PBE with a Hubbard U.

```
16
Lattice="6.1721 0.0000 0.0000 0.0000 6.1721 0.0000 0.0000 0.0000 6.1721" Properties=species:S:1:pos:R:3 pbc="T T T"
V 0.0000 0.0000 0.0000
V 0.0000 3.0860 3.0860
V 3.0860 0.0000 3.0860
V 3.0860 3.0860 0.0000
Pd 1.5430 1.5430 1.5430
Pd 1.5430 1.5430 4.6291
Pd 1.5430 4.6291 1.5430
Pd 1.5430 4.6291 4.6291
Pd 4.6291 1.5430 1.5430
Pd 4.6291 1.5430 4.6291
Pd 4.6291 4.6291 1.5430
Pd 4.6291 4.6291 4.6291
F 0.0000 0.0000 3.0860
F 0.0000 3.0860 0.0000
F 3.0860 0.0000 0.0000
F 3.0860 3.0860 3.0860
```

SG: No. 225
Density of states at the Fermi level, states/eV per cell: 7.3
Crystal system: cubic
VASP energy, eV per cell: -79.53
Relative energy among the computed polymorphs, meV/atom: 0.0